GdSnGe2 after structural relaxation. Source: Alexandria, functional PBE.

a b c (Å): 4.8398 4.8398 7.5166
angles (deg): 71.22 71.22 60.00
Each line ends with the local moment (μB).
Positions (direct):
Ge1 0.1221 0.1221 0.6338  -0.02
Ge2 0.8779 0.8779 0.3662  -0.02
Gd1 0.5000 0.5000 0.5000  6.94
Sn1 0.0000 0.0000 0.0000  -0.02

total magnetization: 1.7342 μB/atom
distance to the lowest polymorph of the same formula: 661 meV/atom
uncorrected energy: -26.41 eV per formula unit


CsNaCa2Pd after structural relaxation. Source: Alexandria, functional PBE.

a b c (Å): 5.6768 5.6768 6.3811
angles (deg): 90.00 90.00 90.00
Positions (direct):
Cs1 0.5000 0.5000 0.5000
Na1 0.0000 0.0000 0.5000
Ca1 0.0000 0.5000 0.0000
Ca2 0.5000 0.0000 0.0000
Pd1 0.0000 0.0000 0.0000

total magnetization: 0.0000 μB/atom
distance to the lowest polymorph of the same formula: 0 meV/atom
uncorrected energy: -11.99 eV per formula unit


TcAuSN2 after structural relaxation. Source: Alexandria, functional PBE.

a b c (Å): 3.8603 3.8603 7.3970
angles (deg): 90.00 90.00 90.00
Each line ends with the local moment (μB).
Positions (direct):
S1 0.0000 0.0000 0.5000  0.13
Au1 0.0000 0.0000 0.0000  0.36
Tc1 0.5000 0.5000 0.5000  3.66
N1 0.0000 0.5000 0.0000  0.97
N2 0.5000 0.0000 0.0000  0.97

total magnetization: 1.5144 μB/atom
distance to the lowest polymorph of the same formula: 1351 meV/atom
uncorrected energy: -24.27 eV per formula unit
energy relative to the elements, uncorrected: 2.031 eV/atom